[1]
Here is CaGe2Ir after structural relaxation from the Alexandria database. Energies are from PBE-GGA.

Cell and atoms, written as CIF:
```
data_CaGe2Ir
_chemical_formula_sum 'Ca4 Ge8 Ir4'
_cell_length_a 6.550
_cell_length_b 6.550
_cell_length_c 6.550
_cell_angle_alpha 90.00
_cell_angle_beta 90.00
_cell_angle_gamma 90.00
_space_group_name_H-M_alt 'F m -3 m'
_space_group_IT_number 225
_space_group_name_Hall '-F 4 2 3'
loop_
_atom_site_label
_atom_site_type_symbol
_atom_site_fract_x
_atom_site_fract_y
_atom_site_fract_z
Ca1 Ca 0.000 0.000 0.000
Ge1 Ge 0.250 0.250 0.250
Ir1 Ir 0.000 0.000 0.500
```

Summary:
- total DFT energy (no corrections) (eV/cell) = -84.8
- calculated formation energy (eV/atom) = -0.28

[2]
Here is CaGe12Ir4 after structural relaxation from the Alexandria database. Energies are from PBE-GGA.

Cell and atoms, written as CIF:
```
data_CaGe12Ir4
_chemical_formula_sum 'Ca2 Ge24 Ir8'
_cell_length_a 8.709
_cell_length_b 8.709
_cell_length_c 8.709
_cell_angle_alpha 90.00
_cell_angle_beta 90.00
_cell_angle_gamma 90.00
_space_group_name_H-M_alt 'I m -3'
_space_group_IT_number 204
_space_group_name_Hall '-I 2 2 3'
loop_
_atom_site_label
_atom_site_type_symbol
_atom_site_fract_x
_atom_site_fract_y
_atom_site_fract_z
Ca1 Ca 0.000 0.000 0.000
Ge1 Ge 0.000 0.349 0.153
Ir1 Ir 0.250 0.250 0.250
```

Summary:
- total DFT energy (no corrections) (eV/cell) = -191.6
- calculated formation energy (eV/atom) = -0.17

[3]
Here is Ca3Ge3Ir after structural relaxation from the Alexandria database. Energies are from PBE-GGA.

Cell and atoms, written as CIF:
```
data_Ca3Ge3Ir
_chemical_formula_sum 'Ca12 Ge12 Ir4'
_cell_length_a 4.234
_cell_length_b 10.778
_cell_length_c 13.645
_cell_angle_alpha 90.00
_cell_angle_beta 90.00
_cell_angle_gamma 90.00
_space_group_name_H-M_alt 'C m c m'
_space_group_IT_number 63
_space_group_name_Hall '-C 2c 2'
loop_
_atom_site_label
_atom_site_type_symbol
_atom_site_fract_x
_atom_site_fract_y
_atom_site_fract_z
Ca1 Ca 0.000 0.005 0.250
Ca2 Ca 0.000 0.280 0.601
Ge1 Ge 0.000 0.293 0.250
Ge2 Ge 0.000 0.434 0.091
Ir1 Ir 0.000 0.000 0.000
```

Summary:
- total DFT energy (no corrections) (eV/cell) = -132.9
- calculated formation energy (eV/atom) = -0.64

[4]
Here is Ca2GeIr2 after structural relaxation from the Alexandria database. Energies are from PBE-GGA.

Cell and atoms, written as CIF:
```
data_Ca2GeIr2
_chemical_formula_sum 'Ca4 Ge2 Ir4'
_cell_length_a 8.292
_cell_length_b 8.292
_cell_length_c 3.034
_cell_angle_alpha 90.00
_cell_angle_beta 90.00
_cell_angle_gamma 90.00
_space_group_name_H-M_alt 'P 4/m b m'
_space_group_IT_number 127
_space_group_name_Hall '-P 4 2ab'
loop_
_atom_site_label
_atom_site_type_symbol
_atom_site_fract_x
_atom_site_fract_y
_atom_site_fract_z
Ca1 Ca 0.133 0.367 0.000
Ge1 Ge 0.000 0.000 0.000
Ir1 Ir 0.170 0.670 0.500
```

Summary:
- total DFT energy (no corrections) (eV/cell) = -50.0
- calculated formation energy (eV/atom) = 0.27

[5]
Here is Ca3Ge7Ir2 after structural relaxation from the Alexandria database. Energies are from PBE-GGA.

Cell and atoms, written as CIF:
```
data_Ca3Ge7Ir2
_chemical_formula_sum 'Ca3 Ge7 Ir2'
_cell_length_a 5.482
_cell_length_b 4.281
_cell_length_c 11.178
_cell_angle_alpha 90.00
_cell_angle_beta 101.90
_cell_angle_gamma 90.00
_space_group_name_H-M_alt 'P 1 2/m 1'
_space_group_IT_number 10
_space_group_name_Hall '-P 2y'
loop_
_atom_site_label
_atom_site_type_symbol
_atom_site_fract_x
_atom_site_fract_y
_atom_site_fract_z
Ca1 Ca 0.000 0.000 0.000
Ca2 Ca 0.187 0.000 0.379
Ge1 Ge 0.080 0.500 0.797
Ge2 Ge 0.323 0.500 0.605
Ge3 Ge 0.397 0.000 0.778
Ge4 Ge 0.500 0.500 0.000
Ir1 Ir 0.351 0.500 0.188
```

Summary:
- total DFT energy (no corrections) (eV/cell) = -60.3
- calculated formation energy (eV/atom) = -0.35

[6]
Here is CaGe3Ir3 after structural relaxation from the Alexandria database. Energies are from PBE-GGA.

Cell and atoms, written as CIF:
```
data_CaGe3Ir3
_chemical_formula_sum 'Ca2 Ge6 Ir6'
_cell_length_a 6.791
_cell_length_b 6.791
_cell_length_c 6.791
_cell_angle_alpha 90.00
_cell_angle_beta 90.00
_cell_angle_gamma 90.00
_space_group_name_H-M_alt 'P m -3 n'
_space_group_IT_number 223
_space_group_name_Hall '-P 4n 2 3'
loop_
_atom_site_label
_atom_site_type_symbol
_atom_site_fract_x
_atom_site_fract_y
_atom_site_fract_z
Ca1 Ca 0.000 0.000 0.000
Ge1 Ge 0.000 0.250 0.500
Ir1 Ir 0.000 0.500 0.250
```

Summary:
- total DFT energy (no corrections) (eV/cell) = -86.9
- calculated formation energy (eV/atom) = -0.15

[7]
Here is CaGe3Ir2 after structural relaxation from the Alexandria database. Energies are from PBE-GGA.

Cell and atoms, written as CIF:
```
data_CaGe3Ir2
_chemical_formula_sum 'Ca6 Ge18 Ir12'
_cell_length_a 16.625
_cell_length_b 4.048
_cell_length_c 10.030
_cell_angle_alpha 90.00
_cell_angle_beta 103.60
_cell_angle_gamma 90.00
_space_group_name_H-M_alt 'C 1 2/m 1'
_space_group_IT_number 12
_space_group_name_Hall '-C 2y'
loop_
_atom_site_label
_atom_site_type_symbol
_atom_site_fract_x
_atom_site_fract_y
_atom_site_fract_z
Ca1 Ca 0.000 0.000 0.000
Ca2 Ca 0.148 0.000 0.694
Ge1 Ge 0.000 0.500 0.500
Ge2 Ge 0.050 0.000 0.364
Ge3 Ge 0.136 0.500 0.176
Ge4 Ge 0.146 0.500 0.922
Ge5 Ge 0.229 0.000 0.372
Ir1 Ir 0.008 0.500 0.768
Ir2 Ir 0.146 0.500 0.433
Ir3 Ir 0.208 0.000 0.093
```

Summary:
- total DFT energy (no corrections) (eV/cell) = -217.5
- calculated formation energy (eV/atom) = -0.44
- energy relative to the lowest polymorph listed for this composition (eV per atom) = 0.0000

[8]
Here is CaGe2Ir after structural relaxation from the Alexandria database. Energies are from PBE-GGA.

Cell and atoms, written as CIF:
```
data_CaGe2Ir
_chemical_formula_sum 'Ca3 Ge6 Ir3'
_cell_length_a 4.1945
_cell_length_b 4.1945
_cell_length_c 15.6333
_cell_angle_alpha 90.00
_cell_angle_beta 90.00
_cell_angle_gamma 120.00
_space_group_name_H-M_alt 'R -3 m'
_space_group_IT_number 166
_space_group_name_Hall '-R 3 2"'
loop_
_atom_site_label
_atom_site_type_symbol
_atom_site_fract_x
_atom_site_fract_y
_atom_site_fract_z
Ca1 Ca 0.0000 0.0000 0.0000
Ge1 Ge 0.0000 0.0000 0.2189
Ir1 Ir 0.0000 0.0000 0.5000
```

Summary:
- total DFT energy (no corrections) (eV/cell) = -66.5
- calculated formation energy (eV/atom) = -0.52

[9]
Here is CaGe4Ir2 after structural relaxation from the Alexandria database. Energies are from PBE-GGA.

Cell and atoms, written as CIF:
```
data_CaGe4Ir2
_chemical_formula_sum 'Ca4 Ge16 Ir8'
_cell_length_a 17.456
_cell_length_b 4.173
_cell_length_c 6.800
_cell_angle_alpha 90.00
_cell_angle_beta 90.00
_cell_angle_gamma 90.00
_space_group_name_H-M_alt 'P n m a'
_space_group_IT_number 62
_space_group_name_Hall '-P 2ac 2n'
loop_
_atom_site_label
_atom_site_type_symbol
_atom_site_fract_x
_atom_site_fract_y
_atom_site_fract_z
Ca1 Ca 0.143 0.250 0.009
Ge1 Ge 0.035 0.750 0.870
Ge2 Ge 0.068 0.250 0.473
Ge3 Ge 0.183 0.750 0.306
Ge4 Ge 0.193 0.750 0.733
Ir1 Ir 0.034 0.750 0.256
Ir2 Ir 0.212 0.250 0.523
```

Summary:
- total DFT energy (no corrections) (eV/cell) = -166.5
- calculated formation energy (eV/atom) = -0.49

[10]
Here is Ca2Ge4Ir5 after structural relaxation from the Alexandria database. Energies are from PBE-GGA.

Cell and atoms, written as CIF:
```
data_Ca2Ge4Ir5
_chemical_formula_sum 'Ca8 Ge16 Ir20'
_cell_length_a 5.708
_cell_length_b 9.846
_cell_length_c 14.734
_cell_angle_alpha 90.00
_cell_angle_beta 90.00
_cell_angle_gamma 90.00
_space_group_name_H-M_alt 'F m m m'
_space_group_IT_number 69
_space_group_name_Hall '-F 2 2'
loop_
_atom_site_label
_atom_site_type_symbol
_atom_site_fract_x
_atom_site_fract_y
_atom_site_fract_z
Ca1 Ca 0.000 0.000 0.119
Ge1 Ge 0.000 0.159 0.371
Ir1 Ir 0.000 0.000 0.500
Ir2 Ir 0.250 0.250 0.000
Ir3 Ir 0.250 0.250 0.250
```

Summary:
- total DFT energy (no corrections) (eV/cell) = -290.4
- calculated formation energy (eV/atom) = -0.53

[11]
Here is Ca2GeIr2 after structural relaxation from the Alexandria database. Energies are from PBE-GGA.

Cell and atoms, written as CIF:
```
data_Ca2GeIr2
_chemical_formula_sum 'Ca4 Ge2 Ir4'
_cell_length_a 6.555
_cell_length_b 6.555
_cell_length_c 4.749
_cell_angle_alpha 90.00
_cell_angle_beta 90.00
_cell_angle_gamma 90.00
_space_group_name_H-M_alt 'P 4/m b m'
_space_group_IT_number 127
_space_group_name_Hall '-P 4 2ab'
loop_
_atom_site_label
_atom_site_type_symbol
_atom_site_fract_x
_atom_site_fract_y
_atom_site_fract_z
Ca1 Ca 0.174 0.326 0.000
Ge1 Ge 0.000 0.000 0.500
Ir1 Ir 0.139 0.639 0.500
```

Summary:
- total DFT energy (no corrections) (eV/cell) = -57.0
- calculated formation energy (eV/atom) = -0.44

[12]
Here is CaGe3Ir2 after structural relaxation from the Alexandria database. Energies are from PBE-GGA.

Cell and atoms, written as CIF:
```
data_CaGe3Ir2
_chemical_formula_sum 'Ca6 Ge18 Ir12'
_cell_length_a 5.9401
_cell_length_b 5.9401
_cell_length_c 21.6971
_cell_angle_alpha 90.00
_cell_angle_beta 90.00
_cell_angle_gamma 120.00
_space_group_name_H-M_alt 'R -3 m'
_space_group_IT_number 166
_space_group_name_Hall '-R 3 2"'
loop_
_atom_site_label
_atom_site_type_symbol
_atom_site_fract_x
_atom_site_fract_y
_atom_site_fract_z
Ca1 Ca 0.0000 0.0000 0.2087
Ge1 Ge 0.0050 0.5025 0.2450
Ir1 Ir 0.0000 0.0000 0.0000
Ir2 Ir 0.0000 0.5000 0.0000
```

Summary:
- total DFT energy (no corrections) (eV/cell) = -211.2
- calculated formation energy (eV/atom) = -0.27
- energy relative to the lowest polymorph listed for this composition (eV per atom) = 0.1730

Question: Which value of calculated formation energy does entry 5 give?
Answer: -0.35 eV/atom